No. 1
An optimized crystal structure of LaCePbO2. Source: Alexandria via LeMat-Bulk, functional PBE.

abc: 4.016 4.016 7.615
angles: 105.29 105.29 90.00
Positions (direct):
1 Pb 0.504 0.504 0.009
2 Ce 0.166 0.166 0.332
3 O 0.246 0.746 0.492
4 O 0.746 0.246 0.492
5 La 0.838 0.838 0.676

Output
* V: 113.9 Å³/cell
* E_tot: -7.411 eV per atom
* symmetry: I4mm

No. 2
An optimized crystal structure of Cd2NiMo. Source: Alexandria via LeMat-Bulk, functional PBE.

abc: 2.893 2.893 8.099
angles: 90.00 90.00 90.00
Positions (direct):
1 Mo 0.000 0.000 0.540
2 Ni 0.500 0.500 0.730
3 Cd 0.000 0.000 0.962
4 Cd 0.500 0.500 0.268

Output
* excess energy over the best structure of this formula in the dataset: 0.0 meV per atom
* V: 67.8 Å³/cell
* ΔH_f (0 K): 0.133 eV per atom
* symmetry: P4mm

No. 3
An optimized crystal structure of CdReBr2. Source: Alexandria via LeMat-Bulk, functional PBE.

abc: 3.189 3.188 9.457
angles: 90.00 90.00 90.00
Positions (direct):
1 Br 0.000 0.000 0.916
2 Cd 0.500 0.500 0.250
3 Re 0.500 0.500 0.750
4 Br 0.000 0.000 0.584

Output
* excess energy over the best structure of this formula in the dataset: 563.9 meV per atom
* V: 96.2 Å³/cell
* symmetry: P4/mmm

No. 4
An optimized crystal structure of Rb2LaSe2Br2. Source: Alexandria via LeMat-Bulk, functional PBE.

abc: 5.751 5.751 9.815
angles: 107.04 107.04 90.00
Positions (direct):
1 Rb 0.360 0.360 0.719
2 La 0.000 0.000 0.000
3 Se 0.000 0.500 0.000
4 Se 0.500 0.000 0.000
5 Rb 0.640 0.640 0.281
6 Br 0.832 0.832 0.663
7 Br 0.168 0.168 0.337

Output
* V: 295.5 Å³/cell
* E_tot: -3.977 eV per atom
* symmetry: I4/mmm

No. 5
An optimized crystal structure of LiAg3Ru. Source: Alexandria via LeMat-Bulk, functional PBE.

abc: 5.103 5.103 5.103
angles: 90.00 90.00 90.00
Positions (direct):
1 Ag 0.500 0.000 0.000
2 Ag 0.000 0.500 0.000
3 Ru 0.000 0.000 0.000
4 Li 0.500 0.500 0.500
5 Ag 0.000 0.000 0.500

Output
* excess energy over the best structure of this formula in the dataset: 187.8 meV per atom
* V: 132.9 Å³/cell
* ΔH_f (0 K): 0.988 eV per atom
* symmetry: Pm-3m

No. 6
An optimized crystal structure of Mg5GePt6. Source: Alexandria via LeMat-Bulk, functional PBE.

abc: 4.165 7.226 6.619
angles: 90.00 71.79 90.00
Positions (direct):
1 Pt 0.500 0.763 0.000
2 Pt 0.835 0.754 0.330
3 Mg 0.334 0.500 0.332
4 Ge 0.000 0.000 0.000
5 Mg 0.000 0.500 0.000
6 Mg 0.668 0.000 0.664
7 Pt 0.835 0.246 0.330
8 Pt 0.165 0.754 0.670
9 Pt 0.500 0.237 0.000
10 Mg 0.332 0.000 0.336
11 Mg 0.666 0.500 0.668
12 Pt 0.165 0.246 0.670

Output
* V: 189.2 Å³/cell
* ΔH_f (0 K): -0.796 eV per atom
* symmetry: P2/m

No. 7
An optimized crystal structure of CdAs2Rh. Source: Alexandria via LeMat-Bulk, functional PBE.

abc: 3.124 3.927 6.034
angles: 90.00 90.00 90.00
Positions (direct):
1 As 0.000 0.000 0.948
2 Rh 0.500 0.500 0.820
3 As 0.500 0.500 0.242
4 Cd 0.000 0.000 0.490

Output
* V: 74.0 Å³/cell
* ΔH_f (0 K): 0.021 eV per atom
* symmetry: Pmm2

No. 8
An optimized crystal structure of Tc3BiAu. Source: Alexandria via LeMat-Bulk, functional PBE.

abc: 5.008 5.008 5.008
angles: 90.00 90.00 90.00
Positions (direct):
1 Bi 0.500 0.500 0.500
2 Tc 0.000 0.000 0.500
3 Tc 0.000 0.500 0.000
4 Au 0.000 0.000 0.000
5 Tc 0.500 0.000 0.000

Output
* excess energy over the best structure of this formula in the dataset: 0.0 meV per atom
* V: 125.6 Å³/cell
* ΔH_f (0 K): 1.975 eV per atom
* symmetry: Pm-3m

No. 9
An optimized crystal structure of HoMgZrTi. Source: Alexandria via LeMat-Bulk, functional PBE.

abc: 5.072 5.072 5.072
angles: 60.00 60.00 60.00
Positions (direct):
1 Mg 0.750 0.750 0.750
2 Zr 0.500 0.500 0.500
3 Ti 0.250 0.250 0.250
4 Ho 0.000 0.000 0.000

Output
* V: 92.3 Å³/cell
* ΔH_f (0 K): 0.150 eV per atom
* symmetry: F-43m

No. 10
An optimized crystal structure of KCd2Te2. Source: Alexandria via LeMat-Bulk, functional PBE.

abc: 8.550 8.550 4.055
angles: 90.00 90.00 90.00
Positions (direct):
1 K 0.500 0.500 0.000
2 Cd 0.379 0.879 0.000
3 Te 0.814 0.314 0.500
4 Te 0.686 0.814 0.500
5 Te 0.186 0.686 0.500
6 Cd 0.621 0.121 0.000
7 Cd 0.879 0.621 0.000
8 Cd 0.121 0.379 0.000
9 K 0.000 0.000 0.000
10 Te 0.314 0.186 0.500

Output
* excess energy over the best structure of this formula in the dataset: 66.2 meV per atom
* V: 296.4 Å³/cell
* symmetry: P4/mbm

No. 11
An optimized crystal structure of ZrAlCu. Source: Alexandria via LeMat-Bulk, functional PBE.

abc: 8.475 8.475 2.793
angles: 90.00 90.00 126.91
Positions (direct):
1 Al 0.126 0.794 0.000
2 Al 0.794 0.126 0.000
3 Zr 0.726 0.411 0.000
4 Cu 0.050 0.445 0.500
5 Al 0.187 0.187 0.000
6 Zr 0.802 0.802 0.000
7 Cu 0.445 0.050 0.500
8 Zr 0.411 0.726 0.000
9 Cu 0.459 0.459 0.500

Output
* V: 160.4 Å³/cell
* ΔH_f (0 K): 0.042 eV per atom
* symmetry: Amm2

No. 12
An optimized crystal structure of Ag7PS6. Source: Alexandria via LeMat-Bulk, functional PBE.

abc: 10.519 10.519 10.519
angles: 90.00 90.00 90.00
Positions (direct):
1 Ag 0.901 0.235 0.928
2 P 0.747 0.247 0.253
3 Ag 0.150 0.150 0.150
4 S 0.358 0.864 0.128
5 Ag 0.928 0.901 0.235
6 S 0.136 0.628 0.142
7 Ag 0.650 0.350 0.850
8 Ag 0.765 0.428 0.599
9 Ag 0.401 0.265 0.072
10 S 0.862 0.362 0.138
11 P 0.753 0.753 0.753
12 P 0.253 0.747 0.247
13 Ag 0.428 0.599 0.765
14 Ag 0.776 0.990 0.013
15 Ag 0.990 0.013 0.776
16 Ag 0.099 0.735 0.572
17 S 0.364 0.372 0.642
18 S 0.628 0.142 0.136
19 S 0.517 0.483 0.983
20 S 0.782 0.218 0.718
21 Ag 0.724 0.010 0.513
22 S 0.483 0.983 0.517
23 Ag 0.735 0.572 0.099
24 S 0.872 0.858 0.636
25 Ag 0.265 0.072 0.401
26 Ag 0.072 0.401 0.265
27 Ag 0.224 0.490 0.487
28 Ag 0.513 0.724 0.010
29 Ag 0.013 0.776 0.990
30 S 0.372 0.642 0.364
31 S 0.128 0.358 0.864
32 S 0.718 0.782 0.218
33 S 0.983 0.517 0.483
34 S 0.858 0.636 0.872
35 Ag 0.235 0.928 0.901
36 S 0.142 0.136 0.628
37 S 0.864 0.128 0.358
38 Ag 0.850 0.650 0.350
39 S 0.282 0.282 0.282
40 Ag 0.276 0.510 0.987
41 Ag 0.487 0.224 0.490
42 P 0.247 0.253 0.747
43 S 0.017 0.017 0.017
44 Ag 0.350 0.850 0.650
45 S 0.362 0.138 0.862
46 S 0.218 0.718 0.782
47 Ag 0.010 0.513 0.724
48 Ag 0.490 0.487 0.224
49 Ag 0.510 0.987 0.276
50 Ag 0.572 0.099 0.735
51 S 0.642 0.364 0.372
52 Ag 0.987 0.276 0.510
53 Ag 0.599 0.765 0.428
54 S 0.638 0.638 0.638
55 S 0.636 0.872 0.858
56 S 0.138 0.862 0.362

Output
* excess energy over the best structure of this formula in the dataset: 0.0 meV per atom
* V: 1164.0 Å³/cell
* symmetry: P2_13

Repeat the eighth record exactly.
An optimized crystal structure of Tc3BiAu. Source: Alexandria via LeMat-Bulk, functional PBE.

abc: 5.008 5.008 5.008
angles: 90.00 90.00 90.00
Positions (direct):
1 Bi 0.500 0.500 0.500
2 Tc 0.000 0.000 0.500
3 Tc 0.000 0.500 0.000
4 Au 0.000 0.000 0.000
5 Tc 0.500 0.000 0.000

Output
* excess energy over the best structure of this formula in the dataset: 0.0 meV per atom
* V: 125.6 Å³/cell
* ΔH_f (0 K): 1.975 eV per atom
* symmetry: Pm-3m

Which value of V does entry 8 give? 125.6 Å³/cell